No. 1
Here is crystalline CsGeAu at its relaxed geometry from Alexandria via LeMat-Bulk. Energies are from PBE.

It has space group Immm (No. 71), with a = 5.736 Å, b = 6.670 Å, c = 11.585 Å, α = 90.00°, β = 90.00° and γ = 90.00°. The distinct sites, in fractional coordinates, are Cs at (0.000, 0.000, 0.189), Ge at (0.208, 0.500, 0.000) and Au at (0.000, 0.297, 0.500).

Its formation energy is -198 meV per atom. Its distance to the lowest polymorph of the same formula is 0.000 eV/atom.



No. 2
Here is crystalline CoTeAs2 at its relaxed geometry from Alexandria via LeMat-Bulk. Energies are from PBE.

It has space group P4mm (No. 99), with a = 3.336 Å, b = 3.336 Å, c = 7.207 Å, α = 90.00°, β = 90.00° and γ = 90.00°. The distinct sites, in fractional coordinates, are Co at (0.000, 0.000, 0.000), Te at (0.500, 0.500, 0.217), As at (0.000, 0.000, 0.642) and As at (0.500, 0.500, 0.825).

As for the formation energy (no corrections): 0.27 eV per atom.



No. 3
Here is crystalline Pu2FeCo3H12 at its relaxed geometry from Alexandria via LeMat-Bulk. Energies are from PBE.

It has space group R-3m (No. 166, hexagonal axes), with a = 5.6953 Å, b = 5.6953 Å, c = 14.1674 Å, α = 90.00°, β = 90.00° and γ = 120.00°. The distinct sites, in fractional coordinates, are Pu at (0.0000, 0.0000, 0.1220), Fe at (0.0000, 0.0000, 0.5000), Co at (0.0000, 0.5000, 0.0000), H at (0.0289, 0.5144, 0.3530) and H at (0.0349, 0.5174, 0.1144).



No. 4
Here is crystalline TiSe3Br at its relaxed geometry from Alexandria via LeMat-Bulk. Energies are from PBE.

It has space group Pm-3m (No. 221), with a = 5.110 Å, b = 5.110 Å, c = 5.110 Å, α = 90.00°, β = 90.00° and γ = 90.00°. The distinct sites, in fractional coordinates, are Ti at (0.000, 0.000, 0.000), Se at (0.000, 0.500, 0.500) and Br at (0.500, 0.500, 0.500).

Its distance to the lowest polymorph of the same formula is 1.022 eV/atom. As for the formation energy (no corrections): 0.82 eV per atom.



Number 1: magnetic moment 0.000 μB per atom, uncorrected energy -9.34 eV per formula unit. Number 2: magnetic moment 0.204 μB per atom, uncorrected energy -18.49 eV per formula unit. Number 3: magnetic moment 0.784 μB per atom, uncorrected energy -101.20 eV per formula unit. Number 4: magnetic moment 0.277 μB per atom, uncorrected energy -15.92 eV per formula unit.